HfTl2NiO6 | GGA+U | relaxed

```
HfTl2NiO6
1.0
4.898 -2.862 0.000
4.898 2.862 0.000
-2.954 0.000 4.566
Hf Tl Ni O
1 2 1 6
Cartesian
0.000 0.000 0.000
0.349 0.074 3.285
6.492 0.074 1.281
3.421 -0.003 2.283
2.182 1.425 3.057
2.068 -0.110 0.443
4.659 1.425 1.509
2.172 -1.407 3.098
4.773 -0.110 4.123
4.670 -1.407 1.468
```

Properties
Magnetization, μB/atom: 0.20
Total energy, eV per atom: -6.224
V, Å³ per atom: 12.80